KTaCoBi2 | PBE | relaxed

Geometry as POSCAR:
```
KTaCoBi2
1.0
5.556 0.000 0.000
0.000 5.556 0.000
0.000 0.000 4.953
K Ta Co Bi
1 1 1 2
Cartesian
0.000 0.000 0.000 K
2.778 2.778 2.477 Ta
2.778 2.778 0.000 Co
0.000 2.778 2.477 Bi
2.778 0.000 2.477 Bi
```

Values from the calculation:
total magnetization: 0.4108 μB per atom
calculated formation energy: 0.580 eV per atom
SG: No. 123